No. 1
Here is crystalline CaMgMn2 at its relaxed geometry from Alexandria. Energies are from PBE.

a b c (Å): 3.241 3.256 7.789
angles (deg): 90.00 90.00 90.00
Sites, in units of the cell vectors:
Ca  0.000  0.000  0.000
Mg  0.500  0.500  0.659
Mn  0.000  0.000  0.414
Mn  0.500  0.500  0.295

No. 2
Here is crystalline CaMgMn2 at its relaxed geometry from Alexandria. Energies are from PBE.

a b c (Å): 10.079 10.079 10.079
angles (deg): 154.55 154.55 36.30
Sites, in units of the cell vectors:
Ca  0.375  0.625  0.750
Ca  0.625  0.375  0.250
Mg  0.125  0.875  0.250
Mg  0.875  0.125  0.750
Mn  0.000  0.000  0.000
Mn  0.000  0.000  0.500
Mn  0.000  0.500  0.000
Mn  0.500  0.000  0.500

No. 3
Here is crystalline CaMg6Mn at its relaxed geometry from Alexandria. Energies are from PBE.

a b c (Å): 5.156 6.548 6.548
angles (deg): 58.73 90.00 90.00
Sites, in units of the cell vectors:
Ca  0.000  0.000  0.000
Mg  0.000  0.000  0.500
Mg  0.000  0.500  0.000
Mg  0.500  0.351  0.351
Mg  0.500  0.352  0.828
Mg  0.500  0.828  0.352
Mg  0.500  0.831  0.831
Mn  0.000  0.517  0.517

No. 4
Here is crystalline CaMgMn2 at its relaxed geometry from Alexandria. Energies are from PBE.

a b c (Å): 9.921 9.921 9.921
angles (deg): 18.25 18.25 18.25
Sites, in units of the cell vectors:
Ca  0.000  0.000  0.000
Mg  0.500  0.500  0.500
Mn  0.244  0.244  0.244
Mn  0.756  0.756  0.756

No. 5
Here is crystalline CaMgMn2 at its relaxed geometry from Alexandria. Energies are from PBE.

a b c (Å): 4.930 4.930 4.930
angles (deg): 60.00 60.00 60.00
Sites, in units of the cell vectors:
Ca  0.000  0.000  0.000
Mg  0.250  0.250  0.250
Mn  0.500  0.500  0.500
Mn  0.750  0.750  0.750

No. 6
Here is crystalline Ca4MgMn at its relaxed geometry from Alexandria. Energies are from PBE.

a b c (Å): 6.743 6.743 6.743
angles (deg): 60.00 60.00 60.00
Sites, in units of the cell vectors:
Ca  0.125  0.125  0.125
Ca  0.125  0.125  0.624
Ca  0.125  0.624  0.125
Ca  0.624  0.125  0.125
Mg  0.750  0.750  0.750
Mn  0.500  0.500  0.500

No. 7
Here is crystalline CaMg14Mn at its relaxed geometry from Alexandria. Energies are from PBE.

a b c (Å): 6.443 6.443 10.352
angles (deg): 90.00 90.00 120.00
Sites, in units of the cell vectors:
Ca  0.000  0.000  0.000
Mg  0.009  0.505  0.000
Mg  0.165  0.330  0.265
Mg  0.165  0.330  0.735
Mg  0.165  0.835  0.265
Mg  0.165  0.835  0.735
Mg  0.495  0.505  0.000
Mg  0.495  0.991  0.000
Mg  0.502  0.005  0.500
Mg  0.502  0.498  0.500
Mg  0.667  0.333  0.243
Mg  0.667  0.333  0.757
Mg  0.670  0.835  0.265
Mg  0.670  0.835  0.735
Mg  0.995  0.498  0.500
Mn  0.000  0.000  0.500

No. 8
Here is crystalline CaMgMn2 at its relaxed geometry from Alexandria. Energies are from PBE.

a b c (Å): 4.614 4.614 3.989
angles (deg): 90.00 90.00 90.00
Sites, in units of the cell vectors:
Ca  0.000  0.000  0.000
Mg  0.500  0.500  0.000
Mn  0.000  0.500  0.500
Mn  0.500  0.000  0.500

No. 9
Here is crystalline CaMgMn2 at its relaxed geometry from Alexandria. Energies are from PBE.

a b c (Å): 3.428 3.440 7.296
angles (deg): 90.00 90.00 90.00
Sites, in units of the cell vectors:
Ca  0.000  0.000  0.000
Mg  0.000  0.000  0.500
Mn  0.500  0.500  0.303
Mn  0.500  0.500  0.697

No. 10
Here is crystalline CaMgMn2 at its relaxed geometry from Alexandria. Energies are from PBE.

a b c (Å): 5.503 5.503 5.503
angles (deg): 140.93 126.67 68.07
Sites, in units of the cell vectors:
Ca  0.000  0.000  0.000
Mg  0.284  0.784  0.500
Mn  0.560  0.560  0.000
Mn  0.720  0.220  0.500

No. 11
Here is crystalline CaMg14Mn at its relaxed geometry from Alexandria. Energies are from PBE.

a b c (Å): 10.407 6.454 6.454
angles (deg): 59.02 90.00 90.00
Sites, in units of the cell vectors:
Ca  0.000  0.000  0.000
Mg  0.000  0.006  0.495
Mg  0.000  0.495  0.006
Mg  0.233  0.650  0.650
Mg  0.250  0.162  0.651
Mg  0.250  0.651  0.162
Mg  0.259  0.159  0.159
Mg  0.500  0.493  0.493
Mg  0.500  0.495  0.987
Mg  0.500  0.987  0.495
Mg  0.500  0.990  0.990
Mg  0.741  0.159  0.159
Mg  0.750  0.162  0.651
Mg  0.750  0.651  0.162
Mg  0.767  0.650  0.650
Mn  0.000  0.485  0.485

No. 12
Here is crystalline CaMgMn2 at its relaxed geometry from Alexandria. Energies are from PBE.

a b c (Å): 4.921 4.921 6.133
angles (deg): 97.72 97.72 36.95
Sites, in units of the cell vectors:
Ca  0.000  0.000  0.000
Mg  0.500  0.500  0.500
Mn  0.242  0.242  0.678
Mn  0.758  0.758  0.322

Number 1: formation energy from the elements 259 meV/atom, V 20.546 Å³/atom. Number 2: formation energy from the elements 827 meV/atom, V 23.604 Å³/atom. Number 3: formation energy from the elements 127 meV/atom, V 23.621 Å³/atom. Number 4: formation energy from the elements 609 meV/atom, V 20.907 Å³/atom. Number 5: formation energy from the elements 478 meV/atom, V 21.187 Å³/atom. Number 6: formation energy from the elements 599 meV/atom, V 36.128 Å³/atom. Number 7: formation energy from the elements 59 meV/atom, V 23.263 Å³/atom. Number 8: formation energy from the elements 505 meV/atom, V 21.230 Å³/atom. Number 9: formation energy from the elements 438 meV/atom, V 21.510 Å³/atom. Number 10: formation energy from the elements 400 meV/atom, V 20.722 Å³/atom. Number 11: formation energy from the elements 57 meV/atom, V 23.229 Å³/atom. Number 12: formation energy from the elements 517 meV/atom, V 22.091 Å³/atom.